1.
Density functional theory data (PBE-GGA) for a relaxed structure of ScCd6Hg.

The structure belongs to space group Cmmm (No. 65); the cell edges are 8.085, 9.732 and 4.583 Å and the angles 90.00°, 90.00° and 90.00°. The inequivalent atoms are Sc at (0.000, 0.000, 0.000), Cd at (0.000, 0.218, 0.500), Cd at (0.230, 0.500, 0.500), Cd at (0.250, 0.250, 0.000) and Hg at (0.000, 0.500, 0.000).

For the calculated formation energy, the calculation gives -0.7 eV per formula unit. As for the density of states at the Fermi level: 6.3 states/eV per cell. For the energy above the most stable polymorph in this dataset, the calculation gives 0 meV/atom. For the theoretical density, the calculation gives 8.474 g/cm3.


2.
Density functional theory data (PBE-GGA) for a relaxed structure of ScCdHg3.

The structure belongs to space group C2/m (No. 12); the cell edges are 14.308, 5.101 and 6.297 Å and the angles 90.00°, 94.83° and 90.00°. The inequivalent atoms are Sc at (0.106, 0.000, 0.173), Cd at (0.196, 0.500, 0.500), Hg at (0.004, 0.500, 0.241), Hg at (0.096, 0.000, 0.663) and Hg at (0.200, 0.500, 0.012).

For the calculated formation energy, the calculation gives -0.6 eV per formula unit. As for the density of states at the Fermi level: 11.6 states/eV per cell. For the energy above the most stable polymorph in this dataset, the calculation gives 0 meV/atom. For the theoretical density, the calculation gives 11.012 g/cm3.


3.
Density functional theory data (PBE-GGA) for a relaxed structure of Sc2Cd2Hg.

The structure belongs to space group I4/mmm (No. 139); the cell edges are 4.306, 4.306 and 13.608 Å and the angles 90.00°, 90.00° and 90.00°. The inequivalent atoms are Sc at (0.000, 0.500, 0.250), Cd at (0.000, 0.000, 0.099) and Hg at (0.000, 0.000, 0.500).

For the calculated formation energy, the calculation gives 0.8 eV per formula unit. As for the density of states at the Fermi level: 8.4 states/eV per cell. For the energy above the most stable polymorph in this dataset, the calculation gives 383 meV/atom. For the theoretical density, the calculation gives 6.782 g/cm3.